# SrCoSi2Pt

A relaxed structure of SrCoSi2Pt (GGA-PBE, Alexandria via LeMat-Bulk).

SG: P4/mmm
Raw formation energy in eV per atom: -0.208

Cell: 4.2929 4.2929 5.2212 Å, 90.00 90.00 90.00°
Last column: nearest neighbours and their distance in Å.
Fractional positions:
Sr (0.0000, 0.0000, 0.0000)  4 Pt 3.04, 8 Si 3.38
Co (0.5000, 0.5000, 0.5000)  4 Si 2.15
Si (0.0000, 0.5000, 0.5000)  2 Co 2.15
Si (0.5000, 0.0000, 0.5000)  2 Co 2.15
Pt (0.5000, 0.5000, 0.0000)  2 Co 2.61



# FeIrW2

A relaxed structure of FeIrW2 (GGA-PBE, Alexandria via LeMat-Bulk).

Polymorph energy (0 for the lowest one) in meV per atom: 28.6
SG: Cmmm
ΔE_f in eV per atom: -0.03

Cell: 4.7323 4.7323 2.7451 Å, 90.00 90.00 109.65°
Last column: nearest neighbours and their distance in Å.
Fractional positions:
Fe (0.0000, 0.0000, 0.0000)  2 Ir 2.73, 8 W 2.74, 2 Fe 2.75
Ir (0.5000, 0.5000, 0.0000)  2 Fe 2.73, 8 W 2.74, 2 Ir 2.75
W (0.0000, 0.5000, 0.5000)  4 W 2.73-2.75, 4 Fe 2.74, 4 Ir 2.74
W (0.5000, 0.0000, 0.5000)  4 W 2.73-2.75, 4 Fe 2.74, 4 Ir 2.74



# Li2MnH6

A relaxed structure of Li2MnH6 (GGA-PBE, Alexandria via LeMat-Bulk).

Polymorph energy (0 for the lowest one) in meV per atom: 95.0
SG: Fm-3m

Cell: 4.6798 4.6798 4.6798 Å, 60.00 60.00 60.00°
Last column: nearest neighbours and their distance in Å.
Fractional positions:
Li (0.2500, 0.2500, 0.2500)  12 H 2.34
Li (0.7500, 0.7500, 0.7500)  12 H 2.34
Mn (0.0000, 0.0000, 0.0000)  6 H 1.63
H (0.2465, 0.2465, 0.7535)  1 Mn 1.63
H (0.2465, 0.7535, 0.2465)  1 Mn 1.63
H (0.2465, 0.7535, 0.7535)  1 Mn 1.63
H (0.7535, 0.2465, 0.2465)  1 Mn 1.63
H (0.7535, 0.2465, 0.7535)  1 Mn 1.63
H (0.7535, 0.7535, 0.2465)  1 Mn 1.63



# KSn3B4O12

A relaxed structure of KSn3B4O12 (GGA-PBE, Alexandria via LeMat-Bulk).

SG: R32
Raw formation energy in eV per atom: -1.970

Cell: 6.4080 6.4080 6.4080 Å, 102.09 102.09 102.09°
Last column: nearest neighbours and their distance in Å.
Fractional positions:
K (0.0000, 0.0000, 0.0000)  6 O 2.66
Sn (0.0000, 0.5419, 0.4581)  6 O 2.05-2.21
Sn (0.4581, 0.0000, 0.5419)  6 O 2.05-2.21
Sn (0.5419, 0.4581, 0.0000)  6 O 2.05-2.21
B (0.0470, 0.5000, 0.9530)  3 O 1.36-1.44
B (0.5000, 0.5000, 0.5000)  3 O 1.39
B (0.5000, 0.9530, 0.0470)  3 O 1.36-1.44
B (0.9530, 0.0470, 0.5000)  3 O 1.36-1.44
O (0.0011, 0.2149, 0.4031)  1 B 1.36
O (0.0972, 0.9028, 0.5000)  1 B 1.44
O (0.2149, 0.4031, 0.0011)  1 B 1.36
O (0.3602, 0.6398, 0.5000)  1 B 1.39
O (0.4031, 0.0011, 0.2149)  1 B 1.36
O (0.5000, 0.0972, 0.9028)  1 B 1.44
O (0.5000, 0.3602, 0.6398)  1 B 1.39
O (0.5969, 0.7851, 0.9989)  1 B 1.36
O (0.6398, 0.5000, 0.3602)  1 B 1.39
O (0.7851, 0.9989, 0.5969)  1 B 1.36
O (0.9028, 0.5000, 0.0972)  1 B 1.44
O (0.9989, 0.5969, 0.7851)  1 B 1.36



# CaZn

A relaxed structure of CaZn (GGA-PBE, Alexandria via LeMat-Bulk).

SG: P6_3/mmc
ΔE_f in eV per atom: -0.20

Cell: 8.6833 8.6833 4.9141 Å, 90.00 90.00 120.00°
Last column: nearest neighbours and their distance in Å.
Fractional positions:
Ca (0.1841, 0.3683, 0.2500)  6 Zn 3.05-3.16
Ca (0.1841, 0.8159, 0.2500)  6 Zn 3.05-3.16
Ca (0.3683, 0.1841, 0.7500)  6 Zn 3.05-3.16
Ca (0.6317, 0.8159, 0.2500)  6 Zn 3.05-3.16
Ca (0.8159, 0.1841, 0.7500)  6 Zn 3.05-3.16
Ca (0.8159, 0.6317, 0.7500)  6 Zn 3.05-3.16
Zn (0.1291, 0.5646, 0.7500)  2 Zn 2.66
Zn (0.4354, 0.5646, 0.7500)  2 Zn 2.66
Zn (0.4354, 0.8709, 0.7500)  2 Zn 2.66
Zn (0.5646, 0.1291, 0.2500)  2 Zn 2.66
Zn (0.5646, 0.4354, 0.2500)  2 Zn 2.66
Zn (0.8709, 0.4354, 0.2500)  2 Zn 2.66



# La3Pr2Tl7

A relaxed structure of La3Pr2Tl7 (GGA-PBE, Alexandria via LeMat-Bulk).

SG: Cmmm
ΔE_f in eV per atom: -0.19

Cell: 12.9484 12.9484 5.7408 Å, 90.00 90.00 155.66°
Last column: nearest neighbours and their distance in Å.
Fractional positions:
La (0.0000, 0.0000, 0.0000)  8 Tl 3.41-3.42
La (0.1618, 0.8382, 0.0000)  6 Tl 3.29-3.64
La (0.8382, 0.1618, 0.0000)  6 Tl 3.29-3.64
Pr (0.3556, 0.6444, 0.5000)  8 Tl 3.27-3.66
Pr (0.6444, 0.3556, 0.5000)  8 Tl 3.27-3.66
Tl (0.0734, 0.9266, 0.5000)  2 Pr 3.27, 2 Tl 3.30, 4 La 3.42-3.64
Tl (0.2249, 0.7751, 0.5000)  2 Tl 3.01, 2 La 3.29, 1 Pr 3.31
Tl (0.4195, 0.5805, 0.0000)  2 Pr 3.29, 4 La 3.41-3.42, 2 Tl 3.52
Tl (0.5000, 0.5000, 0.5000)  8 Tl 3.30-3.52, 2 Pr 3.66
Tl (0.5805, 0.4195, 0.0000)  2 Pr 3.29, 4 La 3.41-3.42, 2 Tl 3.52
Tl (0.7751, 0.2249, 0.5000)  2 Tl 3.01, 2 La 3.29, 1 Pr 3.31
Tl (0.9266, 0.0734, 0.5000)  2 Pr 3.27, 2 Tl 3.30, 4 La 3.42-3.64